*1*
# Re3SnSe | the Alexandria database | PBE-GGA | optimized geometry
data_Re3SnSe
_cell_length_a 4.593
_cell_length_b 4.593
_cell_length_c 4.593
_cell_angle_alpha 90.00
_cell_angle_beta 90.00
_cell_angle_gamma 90.00
_symmetry_space_group_name_H-M 'P m -3 m'
_symmetry_Int_Tables_number 221
_symmetry_space_group_name_Hall '-P 4 2 3'
loop_
_atom_site_label
_atom_site_type_symbol
_atom_site_fract_x
_atom_site_fract_y
_atom_site_fract_z
Re1 Re 0.000 0.000 0.500
Sn1 Sn 0.500 0.500 0.500
Se1 Se 0.000 0.000 0.000
# Volume   19.4 Å³ per atom

---

*2*
# Re3SnSe | the Alexandria database | PBE-GGA | optimized geometry
data_Re3SnSe
_cell_length_a 4.885
_cell_length_b 4.885
_cell_length_c 4.885
_cell_angle_alpha 90.00
_cell_angle_beta 90.00
_cell_angle_gamma 90.00
_symmetry_space_group_name_H-M 'P m -3 m'
_symmetry_Int_Tables_number 221
_symmetry_space_group_name_Hall '-P 4 2 3'
loop_
_atom_site_label
_atom_site_type_symbol
_atom_site_fract_x
_atom_site_fract_y
_atom_site_fract_z
Re1 Re 0.000 0.000 0.500
Sn1 Sn 0.000 0.000 0.000
Se1 Se 0.500 0.500 0.500
# Volume   23.3 Å³ per atom

---

*1* has the most favorable energy; the next structure is 125.7 kJ/mol of atoms above.